Record 1
Density functional theory data (PBE) for an optimized crystal structure of Be2B.

Summary:
symmetry: Fm-3m
DFT formation energy: 0.039 eV/atom
theoretical density: 2.00 g/cm³
E above lowest polymorph: 0.18 eV per formula unit

POSCAR file:
```
Be2B
1.0
3.233 0.000 0.000
1.616 2.799 0.000
1.616 0.933 2.639
Be B
2 1
direct
0.250 0.250 0.250
0.750 0.750 0.750
0.000 0.000 0.000
```

Record 2
Density functional theory data (PBE) for an optimized crystal structure of AcNdIn.

Summary:
symmetry: I4mm
DFT formation energy: -0.259 eV/atom
theoretical density: 7.67 g/cm³
E above lowest polymorph: 0.13 eV per formula unit

POSCAR file:
```
AcNdIn
1.0
3.843 0.000 0.000
0.000 3.843 0.000
-1.922 -1.922 7.129
In Nd Ac
1 1 1
direct
0.626 0.626 0.253
0.263 0.263 0.526
0.961 0.961 0.921
```